Entry 1:
A relaxed structure of TlMoOs2, computed with PBE-GGA.

Geometry as extended XYZ:
```
4
Lattice="-6.286 3.115 -6.425 -8.018 1.362 -4.937 -7.592 4.065 -4.042" Properties=species:S:1:pos:R:3 pbc="T T T"
Tl -5.474 2.136 -3.851
Os -0.171 0.067 -0.120
Os -10.777 4.205 -7.582
Mo -16.422 6.407 -11.553
```

Calculated values
- size of the total moment (μB per formula unit) = 0.00
- calculated formation energy (meV per atom) = 572
- energy relative to the lowest polymorph listed for this composition (eV/atom) = 0.021
- theoretical density (g/cm³) = 16.8
- D(E_F) (states/eV per atom) = 0.93



Entry 2:
A relaxed structure of TlMoOs3, computed with PBE-GGA.

Geometry as extended XYZ:
```
5
Lattice="4.746 0.000 0.000 0.000 4.746 0.000 0.000 0.000 4.746" Properties=species:S:1:pos:R:3 pbc="T T T"
Os 0.000 2.373 0.000
Os 0.000 0.000 2.373
Os 2.373 0.000 0.000
Mo 0.000 0.000 0.000
Tl 2.373 2.373 2.373
```

Calculated values
- size of the total moment (μB per formula unit) = 0.74
- calculated formation energy (meV per atom) = 2135
- energy relative to the lowest polymorph listed for this composition (eV/atom) = 0.000
- theoretical density (g/cm³) = 13.5
- D(E_F) (states/eV per atom) = 1.50



Entry 3:
A relaxed structure of TlMoOs2, computed with PBE-GGA.

Geometry as extended XYZ:
```
4
Lattice="-1.450 -0.425 2.386 -0.351 -1.908 -2.053 7.380 -5.191 3.560" Properties=species:S:1:pos:R:3 pbc="T T T"
Mo 4.634 -5.060 2.837
Tl 0.944 -2.464 1.057
Os 3.890 -2.736 1.877
Os 7.180 -5.050 3.464
```

Calculated values
- size of the total moment (μB per formula unit) = 0.00
- calculated formation energy (meV per atom) = 777
- energy relative to the lowest polymorph listed for this composition (eV/atom) = 0.226
- theoretical density (g/cm³) = 16.3
- D(E_F) (states/eV per atom) = 1.03



Entry 4:
A relaxed structure of TlMoOs, computed with PBE-GGA.

Geometry as extended XYZ:
```
3
Lattice="-3.660 0.087 -3.713 -3.231 -3.949 -1.076 1.845 3.270 3.619" Properties=species:S:1:pos:R:3 pbc="T T T"
Os -2.422 -1.357 -1.683
Tl -4.600 -2.578 -3.196
Mo -6.761 -3.789 -4.698
```

Calculated values
- size of the total moment (μB per formula unit) = 0.00
- calculated formation energy (meV per atom) = 675
- energy relative to the lowest polymorph listed for this composition (eV/atom) = 0.194
- theoretical density (g/cm³) = 15.5
- D(E_F) (states/eV per atom) = 0.66



Entry 5:
A relaxed structure of TlMoOs2, computed with PBE-GGA.

Geometry as extended XYZ:
```
4
Lattice="4.524 0.000 0.000 0.000 2.836 -0.037 0.000 -0.416 5.430" Properties=species:S:1:pos:R:3 pbc="T T T"
Mo 2.262 1.815 4.044
Os 0.000 0.940 2.920
Os 0.000 -0.145 5.206
Tl 2.262 0.605 1.348
```

Calculated values
- size of the total moment (μB per formula unit) = 0.00
- calculated formation energy (meV per atom) = 842
- energy relative to the lowest polymorph listed for this composition (eV/atom) = 0.291
- theoretical density (g/cm³) = 16.2
- D(E_F) (states/eV per atom) = 1.04



Entry 6:
A relaxed structure of TlMoOs2, computed with PBE-GGA.

Geometry as extended XYZ:
```
4
Lattice="-0.608 -2.766 0.890 4.359 -1.419 -1.433 1.705 0.982 4.214" Properties=species:S:1:pos:R:3 pbc="T T T"
Os 1.876 -2.092 -0.271
Os 0.000 0.000 0.000
Tl 0.548 -0.892 2.552
Mo 3.032 -0.219 1.391
```

Calculated values
- size of the total moment (μB per formula unit) = 0.00
- calculated formation energy (meV per atom) = 971
- energy relative to the lowest polymorph listed for this composition (eV/atom) = 0.420
- theoretical density (g/cm³) = 17.1
- D(E_F) (states/eV per atom) = 1.35



Entry 7:
A relaxed structure of TlMoOs2, computed with PBE-GGA.

Geometry as extended XYZ:
```
4
Lattice="-0.855 1.827 1.987 -2.630 -0.093 -1.045 -1.794 -6.363 5.080" Properties=species:S:1:pos:R:3 pbc="T T T"
Os -0.026 -0.091 0.072
Os -2.137 -0.534 1.589
Mo -3.128 -4.048 4.395
Tl -0.885 -3.137 2.504
```

Calculated values
- size of the total moment (μB per formula unit) = 0.00
- calculated formation energy (meV per atom) = 576
- energy relative to the lowest polymorph listed for this composition (eV/atom) = 0.025
- theoretical density (g/cm³) = 16.9
- D(E_F) (states/eV per atom) = 0.89



Entry 8:
A relaxed structure of TlMo4Os, computed with PBE-GGA.

Geometry as extended XYZ:
```
6
Lattice="-3.090 -1.809 3.834 -2.952 3.328 2.780 -5.211 0.016 -0.603" Properties=species:S:1:pos:R:3 pbc="T T T"
Mo -6.839 0.582 1.940
Mo -5.697 2.257 3.651
Mo -4.203 0.574 2.245
Mo -5.766 -0.341 4.184
Tl 0.000 0.000 0.000
Os -8.439 1.152 4.508
```

Calculated values
- size of the total moment (μB per formula unit) = 0.00
- calculated formation energy (meV per atom) = 620
- theoretical density (g/cm³) = 12.7
- D(E_F) (states/eV per atom) = 1.23